[1]
## LiTb2Mg4 (GGA-PBE)

Data for a geometry-optimized LiTb2Mg4 structure. Values from VASP.

Cell and atoms, written as Quantum ESPRESSO input:
```
&SYSTEM
  ibrav = 0, nat = 7, ntyp = 3
/
ATOMIC_SPECIES
Mg 24.30 Mg.upf
Tb 158.93 Tb.upf
Li 6.94 Li.upf
ATOMIC_POSITIONS crystal
Mg 0.570 0.560 0.300
Mg 0.132 0.138 0.599
Mg 0.430 0.440 0.700
Mg 0.868 0.862 0.401
Tb 0.287 0.284 0.142
Tb 0.713 0.716 0.858
Li 0.000 0.000 0.000
CELL_PARAMETERS angstrom
4.971 0.000 1.553
2.232 4.442 1.590
0.222 0.198 8.022
```

## Properties
Density of states at the Fermi level   5.02 states/eV per cell
ΔE_f   0.000 eV per atom
Relative energy among the computed polymorphs   0 meV/atom
Size of the total moment   0.00 μB per formula unit
Calculated density   4.01 g cm⁻³
Symmetry   C2/m, No. 12


[2]
## TmZrP2Rh5 (GGA-PBE)

Data for a geometry-optimized TmZrP2Rh5 structure. Values from VASP.

Cell and atoms, written as Quantum ESPRESSO input:
```
&SYSTEM
  ibrav = 0, nat = 9, ntyp = 4
/
ATOMIC_SPECIES
Tm 168.93 Tm.upf
P 30.97 P.upf
Zr 91.22 Zr.upf
Rh 102.91 Rh.upf
ATOMIC_POSITIONS crystal
Tm 0.000 0.000 0.500
P 0.500 0.500 0.716
P 0.500 0.500 0.284
Zr 0.000 0.000 0.000
Rh 0.500 0.000 0.182
Rh 0.000 0.500 0.182
Rh 0.500 0.000 0.818
Rh 0.500 0.500 0.500
Rh 0.000 0.500 0.818
CELL_PARAMETERS angstrom
-2.379 1.993 -2.521
-1.437 -3.465 -1.383
-7.524 0.219 7.274
```

## Properties
Density of states at the Fermi level   3.12 states/eV per cell
ΔE_f   -0.738 eV per atom
Size of the total moment   0.00 μB per formula unit
Calculated density   8.30 g cm⁻³
Symmetry   P4/mmm, No. 123


[3]
## LiAlV (GGA-PBE)

Data for a geometry-optimized LiAlV structure. Values from VASP.

Cell and atoms, written as Quantum ESPRESSO input:
```
&SYSTEM
  ibrav = 0, nat = 6, ntyp = 3
/
ATOMIC_SPECIES
V 50.94 V.upf
Al 26.98 Al.upf
Li 6.94 Li.upf
ATOMIC_POSITIONS crystal
V 0.750 0.500 0.500
V 0.250 0.500 0.500
Al 0.388 0.000 0.223
Al 0.612 0.000 0.777
Li 0.830 0.340 0.000
Li 0.170 0.660 0.000
CELL_PARAMETERS angstrom
-0.704 -1.796 4.121
-2.291 -3.512 0.590
4.486 -4.152 1.468
```

## Properties
Density of states at the Fermi level   4.17 states/eV per cell
ΔE_f   0.217 eV per atom
Size of the total moment   0.00 μB per formula unit
Calculated density   2.96 g cm⁻³
Symmetry   Fmmm, No. 69


[4]
## OsSIO2 (GGA-PBE)

Data for a geometry-optimized OsSIO2 structure. Values from VASP.

Cell and atoms, written as Quantum ESPRESSO input:
```
&SYSTEM
  ibrav = 0, nat = 5, ntyp = 4
/
ATOMIC_SPECIES
S 32.06 S.upf
O 16.00 O.upf
I 126.90 I.upf
Os 190.23 Os.upf
ATOMIC_POSITIONS crystal
S 0.500 0.500 0.500
O 0.000 0.500 0.000
O 0.500 0.000 0.000
I 0.000 0.000 0.500
Os 0.000 0.000 0.000
CELL_PARAMETERS angstrom
-3.782 -0.192 -0.064
0.198 -3.248 -1.937
0.073 -3.320 5.574
```

## Properties
Density of states at the Fermi level   2.81 states/eV per cell
Size of the total moment   0.00 μB per formula unit
Formation energy (no corrections)   -15 kJ/mol of atoms
Calculated density   6.80 g cm⁻³
Symmetry   P4/mmm, No. 123


[5]
## FeTeCS2 (GGA-PBE)

Data for a geometry-optimized FeTeCS2 structure. Values from VASP.

Cell and atoms, written as Quantum ESPRESSO input:
```
&SYSTEM
  ibrav = 0, nat = 5, ntyp = 4
/
ATOMIC_SPECIES
C 12.01 C.upf
Te 127.60 Te.upf
S 32.06 S.upf
Fe 55.84 Fe.upf
ATOMIC_POSITIONS crystal
C 0.000 0.000 0.000
Te 0.000 0.500 0.000
S 0.000 0.000 0.500
S 0.500 0.000 0.000
Fe 0.500 0.500 0.500
CELL_PARAMETERS angstrom
4.038 0.000 0.000
0.000 4.639 0.000
0.000 0.000 4.038
```

## Properties
Density of states at the Fermi level   5.24 states/eV per cell
Size of the total moment   0.00 μB per formula unit
Formation energy (no corrections)   142 kJ/mol of atoms
Calculated density   5.70 g cm⁻³
Symmetry   P4/mmm, No. 123


[6]
## Cs2CeThSe4 (GGA-PBE)

Data for a geometry-optimized Cs2CeThSe4 structure. Values from VASP.

Cell and atoms, written as Quantum ESPRESSO input:
```
&SYSTEM
  ibrav = 0, nat = 8, ntyp = 4
/
ATOMIC_SPECIES
Th 232.04 Th.upf
Se 78.96 Se.upf
Ce 140.12 Ce.upf
Cs 132.91 Cs.upf
ATOMIC_POSITIONS crystal
Th 0.000 0.000 0.000
Se 0.000 0.263 0.808
Se 0.500 0.775 0.808
Se 0.000 0.737 0.192
Se 0.500 0.225 0.192
Ce 0.500 0.500 0.000
Cs 0.000 0.500 0.500
Cs 0.500 0.000 0.500
CELL_PARAMETERS angstrom
-0.956 -4.149 -1.009
0.106 -1.813 7.358
-8.277 2.368 -1.893
```

## Properties
Density of states at the Fermi level   10.39 states/eV per cell
Size of the total moment   1.62 μB per formula unit
Formation energy (no corrections)   -154 kJ/mol of atoms
Calculated density   5.65 g cm⁻³
Symmetry   P2/m, No. 10


[7]
## AsRhSe2F (GGA-PBE)

Data for a geometry-optimized AsRhSe2F structure. Values from VASP.

Cell and atoms, written as Quantum ESPRESSO input:
```
&SYSTEM
  ibrav = 0, nat = 5, ntyp = 4
/
ATOMIC_SPECIES
Rh 102.91 Rh.upf
F 19.00 F.upf
Se 78.96 Se.upf
As 74.92 As.upf
ATOMIC_POSITIONS crystal
Rh 0.000 0.000 0.000
F 0.500 0.500 0.500
Se 0.000 0.500 0.000
Se 0.500 0.000 0.000
As 0.000 0.000 0.500
CELL_PARAMETERS angstrom
-1.338 2.573 -3.948
-2.611 -3.821 -1.606
-3.801 1.613 2.340
```

## Properties
Density of states at the Fermi level   8.21 states/eV per cell
Relative energy among the computed polymorphs   0 meV/atom
Size of the total moment   1.19 μB per formula unit
Formation energy (no corrections)   28 kJ/mol of atoms
Calculated density   5.17 g cm⁻³
Symmetry   P4/mmm, No. 123


[8]
## Zn2InCl (GGA-PBE)

Data for a geometry-optimized Zn2InCl structure. Values from VASP.

Cell and atoms, written as Quantum ESPRESSO input:
```
&SYSTEM
  ibrav = 0, nat = 4, ntyp = 3
/
ATOMIC_SPECIES
Zn 65.41 Zn.upf
Cl 35.45 Cl.upf
In 114.82 In.upf
ATOMIC_POSITIONS crystal
Zn 0.500 0.500 0.250
Zn 0.000 0.000 0.041
Cl 0.000 0.000 0.426
In 0.500 0.500 0.783
CELL_PARAMETERS angstrom
3.326 -0.225 0.000
-1.457 2.998 0.000
0.000 0.000 9.555
```

## Properties
Density of states at the Fermi level   1.76 states/eV per cell
Relative energy among the computed polymorphs   55 meV/atom
Size of the total moment   0.00 μB per formula unit
Formation energy (no corrections)   -14 kJ/mol of atoms
Calculated density   5.06 g cm⁻³
Symmetry   Cmm2, No. 35


[9]
## ZrSbMo2 (GGA-PBE)

Data for a geometry-optimized ZrSbMo2 structure. Values from VASP.

Cell and atoms, written as Quantum ESPRESSO input:
```
&SYSTEM
  ibrav = 0, nat = 4, ntyp = 3
/
ATOMIC_SPECIES
Mo 95.94 Mo.upf
Sb 121.76 Sb.upf
Zr 91.22 Zr.upf
ATOMIC_POSITIONS crystal
Mo 0.000 0.000 0.000
Mo 0.500 0.500 0.000
Sb 0.500 0.500 0.500
Zr 0.000 0.000 0.500
CELL_PARAMETERS angstrom
-0.223 1.784 2.943
0.965 -3.940 2.462
5.196 -2.122 1.681
```

## Properties
Density of states at the Fermi level   3.89 states/eV per cell
Size of the total moment   0.00 μB per formula unit
Formation energy (no corrections)   6 kJ/mol of atoms
Calculated density   9.03 g cm⁻³
Symmetry   P2/m, No. 10


[10]
## NaNbMoCl2 (GGA-PBE)

Data for a geometry-optimized NaNbMoCl2 structure. Values from VASP.

Cell and atoms, written as Quantum ESPRESSO input:
```
&SYSTEM
  ibrav = 0, nat = 5, ntyp = 4
/
ATOMIC_SPECIES
Na 22.99 Na.upf
Nb 92.91 Nb.upf
Mo 95.94 Mo.upf
Cl 35.45 Cl.upf
ATOMIC_POSITIONS crystal
Na 0.000 0.500 0.000
Nb 0.500 0.500 0.500
Mo 0.000 0.000 0.000
Cl 0.000 0.000 0.500
Cl 0.500 0.000 0.000
CELL_PARAMETERS angstrom
-3.887 -1.907 1.712
2.319 -5.638 -1.016
1.875 0.003 4.262
```

## Properties
Density of states at the Fermi level   8.14 states/eV per cell
Size of the total moment   4.37 μB per formula unit
Formation energy (no corrections)   105 kJ/mol of atoms
Calculated density   3.50 g cm⁻³
Symmetry   P4/mmm, No. 123


[11]
## VZnIn3 (GGA-PBE)

Data for a geometry-optimized VZnIn3 structure. Values from VASP.

Cell and atoms, written as Quantum ESPRESSO input:
```
&SYSTEM
  ibrav = 0, nat = 5, ntyp = 3
/
ATOMIC_SPECIES
In 114.82 In.upf
V 50.94 V.upf
Zn 65.41 Zn.upf
ATOMIC_POSITIONS crystal
In 0.500 0.000 0.000
In 0.000 0.000 0.500
In 0.000 0.500 0.000
V 0.000 0.000 0.000
Zn 0.500 0.500 0.500
CELL_PARAMETERS angstrom
-0.316 4.706 2.494
1.196 -2.372 4.627
5.190 0.833 -0.914
```

## Properties
Density of states at the Fermi level   2.45 states/eV per cell
ΔE_f   0.568 eV per atom
Relative energy among the computed polymorphs   0 meV/atom
Size of the total moment   3.67 μB per formula unit
Calculated density   5.04 g cm⁻³
Symmetry   Pm-3m, No. 221


[12]
## InPCl2O (GGA-PBE)

Data for a geometry-optimized InPCl2O structure. Values from VASP.

Cell and atoms, written as Quantum ESPRESSO input:
```
&SYSTEM
  ibrav = 0, nat = 5, ntyp = 4
/
ATOMIC_SPECIES
Cl 35.45 Cl.upf
O 16.00 O.upf
P 30.97 P.upf
In 114.82 In.upf
ATOMIC_POSITIONS crystal
Cl 0.500 0.000 0.000
Cl 0.000 0.500 0.000
O 0.000 0.000 0.000
P 0.000 0.000 0.500
In 0.500 0.500 0.500
CELL_PARAMETERS angstrom
5.766 0.000 0.000
0.000 5.766 0.000
0.000 0.000 3.371
```

## Properties
Density of states at the Fermi level   3.86 states/eV per cell
Relative energy among the computed polymorphs   0 meV/atom
Size of the total moment   0.00 μB per formula unit
Formation energy (no corrections)   -17 kJ/mol of atoms
Calculated density   3.45 g cm⁻³
Symmetry   P4/mmm, No. 123